(1)
Computed, not measured: K2Sr3NpS6 after structural relaxation at the GGA-PBE level of DFT.

Structure (extended XYZ):
```
12
Lattice="3.7778 -6.4810 0.0000 3.7778 6.4810 0.0000 -2.5603 0.0000 6.8021" Properties=species:S:1:pos:R:3 pbc="T T T"
K 3.7778 4.3281 0.0000
K 3.7778 -4.3281 0.0000
Sr -1.2802 0.0000 3.4010
Sr 2.4976 2.2132 3.4010
Sr 2.4976 -2.2132 3.4010
Np 3.7778 0.0000 0.0000
S 0.1089 1.9292 5.1055
S 1.5907 0.0000 1.6212
S 0.1089 -1.9292 5.1055
S 4.8864 1.9292 1.6966
S 3.4046 0.0000 5.1809
S 4.8864 -1.9292 1.6966
```

SG: C2/m
Volume: 27.76 A^3/atom

---

(2)
Computed, not measured: K2SrNpS4 after structural relaxation at the GGA-PBE level of DFT.

Structure (extended XYZ):
```
8
Lattice="7.3303 0.0000 0.0000 0.0000 4.1914 0.0000 -2.3988 0.0000 7.3388" Properties=species:S:1:pos:R:3 pbc="T T T"
K 0.0000 0.0000 0.0000
K 3.6651 2.0957 0.0000
Sr -1.1994 2.0957 3.6694
Np 2.4657 0.0000 3.6694
S 0.2560 0.0000 5.1803
S 1.3945 2.0957 2.2005
S 3.5370 2.0957 5.1383
S 4.6754 0.0000 2.1585
```

SG: P2/m
Volume: 28.18 A^3/atom

---

| no. | D(E_F) (states/eV/cell) | E_form (uncorrected) (kJ/mol of atoms) | mass density (kg/m³) |
| --- | --- | --- | --- |
| 1 | 5.10 | -164 | 3841 |
| 2 | 10.80 | -148 | 3911 |